DFT (GGA-PBE) results for K2Rb8Au3 after structural relaxation.

Output
space group = C2/m
volume = 63.50 A^3/atom
calculated density = 2.721 g/cm³
crystal system = monoclinic
DFT formation energy = -2.2 kcal/mol of atoms

a = 8.9937 Å, b = 10.0558 Å, c = 11.1958 Å
α = 111.58°, β = 90.00°, γ = 116.56°
Closest atoms and distances in Å follow each position.
Fractional coordinates of all 13 atoms:
K 0.8083 0.6166 0.8085  2 Au 3.54, 1 Rb 3.79
K 0.1917 0.3834 0.1915  2 Au 3.54, 1 Rb 3.79
Rb 0.3885 0.7771 0.0024  2 Au 3.66, 1 Rb 4.03
Rb 0.6115 0.2229 0.9976  2 Au 3.66, 1 Rb 4.03
Rb 0.8879 0.7758 0.1788  3 Au 3.32-3.67
Rb 0.1121 0.2242 0.8212  3 Au 3.32-3.67
Rb 0.8345 0.1999 0.4049  1 Au 3.41
Rb 0.3654 0.1999 0.4049  1 Au 3.41
Rb 0.6346 0.8001 0.5951  1 Au 3.41
Rb 0.1655 0.8001 0.5951  1 Au 3.41
Au 0.0000 0.0000 0.5000  6 Rb 3.32-3.41
Au 0.1610 0.0000 0.0000  1 Au 2.90
Au 0.8390 0.0000 0.0000  1 Au 2.90